This record from the Alexandria database describes an optimized crystal structure of Ti2Nb3Zn2. The functional is PBE.

Output
**Space-group type**: P-1, No. 2
**ΔE_f**: -63.7 meV/atom
**Fermi-level density of states**: 1.23 states/eV/atom

Lattice parameters (Å, degrees): 2.850 4.511 9.455 76.30 89.69 89.94
Atoms (fractional coordinates):
Ti 0.044 0.154 0.193
Ti 0.956 0.846 0.807
Nb 0.179 0.425 0.649
Nb 0.500 0.000 0.500
Nb 0.821 0.575 0.351
Zn 0.466 0.712 0.076
Zn 0.534 0.288 0.924


This record from the Alexandria database describes an optimized crystal structure of InRe2HPt. The functional is PBE.

Output
**Space-group type**: P4/mmm, No. 123
**Fermi-level density of states**: 1.06 states/eV/atom
**E_tot**: -7.009 eV/atom

Lattice parameters (Å, degrees): 3.931 3.931 4.398 90.00 90.00 90.00
Atoms (fractional coordinates):
In 0.000 0.000 0.000
Re 0.000 0.500 0.500
Re 0.500 0.000 0.500
H 0.500 0.500 0.500
Pt 0.500 0.500 0.000


This record from the Alexandria database describes an optimized crystal structure of Y2MgBiRh. The functional is PBE.

Output
**Space-group type**: P4/mmm, No. 123
**ΔE_f**: -229.7 meV/atom
**Fermi-level density of states**: 0.75 states/eV/atom

Lattice parameters (Å, degrees): 5.339 5.339 5.224 90.00 90.00 90.00
Atoms (fractional coordinates):
Y 0.000 0.500 0.000
Y 0.500 0.000 0.000
Mg 0.000 0.000 0.500
Bi 0.500 0.500 0.500
Rh 0.500 0.500 0.000


This record from the Alexandria database describes an optimized crystal structure of HfMn2Be. The functional is PBE.

Output
**Space-group type**: I-42d, No. 122
**ΔE_f**: 367.5 meV/atom
**Fermi-level density of states**: 0.94 states/eV/atom

Lattice parameters (Å, degrees): 8.675 8.675 8.675 155.44 155.44 35.01
Atoms (fractional coordinates):
Hf 0.000 0.000 0.000
Hf 0.750 0.250 0.500
Mn 0.232 0.625 0.107
Mn 0.375 0.482 0.607
Mn 0.518 0.125 0.893
Mn 0.875 0.768 0.393
Be 0.250 0.750 0.500
Be 0.500 0.500 0.000


Q: Which of these has the highest Fermi-level density of states?
A: Ti2Nb3Zn2